Entry 1:
Density functional theory data (PBE) for an optimized crystal structure of ReNi2Hg.

Unit cell a=4.8012 b=4.8012 c=4.6910 alpha=103.29 beta=103.29 gamma=32.78
Element x y z (fractional)
Re 0.0000 0.0000 0.0000
Ni 0.2580 0.2580 0.8440
Ni 0.5335 0.5335 0.5471
Hg 0.7743 0.7743 0.3496

Values from the calculation:
spin magnetization	0.0	μB/f.u.
Fermi-level density of states	3.8	states/eV/cell
energy of formation from the pure elements	0.39	eV per atom
density	14.73	g/cm3
raw total energy	-5.684	eV per atom

=====

Entry 2:
Density functional theory data (PBE) for an optimized crystal structure of CdSnAu.

Unit cell a=4.6087 b=4.6087 c=3.9089 alpha=90.00 beta=90.00 gamma=120.00
Element x y z (fractional)
Cd 0.0000 0.0000 0.0000
Sn 0.3333 0.6667 0.4623
Au 0.6667 0.3333 0.7244

Values from the calculation:
spin magnetization	0.0	μB/f.u.
Fermi-level density of states	1.4	states/eV/cell
energy of formation from the pure elements	-0.03	eV per atom
density	9.89	g/cm3
raw total energy	-2.763	eV per atom

=====

density of number 1 (ReNi2Hg)?
14.73 g/cm3

=====

Look up the energy of formation from the pure elements of the second one.
-0.03 eV per atom

=====

Repeat the first record exactly.
Density functional theory data (PBE) for an optimized crystal structure of ReNi2Hg.

Unit cell a=4.8012 b=4.8012 c=4.6910 alpha=103.29 beta=103.29 gamma=32.78
Element x y z (fractional)
Re 0.0000 0.0000 0.0000
Ni 0.2580 0.2580 0.8440
Ni 0.5335 0.5335 0.5471
Hg 0.7743 0.7743 0.3496

Values from the calculation:
spin magnetization	0.0	μB/f.u.
Fermi-level density of states	3.8	states/eV/cell
energy of formation from the pure elements	0.39	eV per atom
density	14.73	g/cm3
raw total energy	-5.684	eV per atom

=====

Which value of energy of formation from the pure elements does entry 1 give?
0.39 eV per atom